Entry from the Alexandria database: crystalline Dy4InHg2 at its relaxed geometry (PBE).

Properties
The formation energy from the elements comes out at -174 meV per atom. Its energy is -3.281 eV/atom. As for the excess energy over the best structure of this formula in the dataset: 126.5 meV/atom.

Cell lengths 5.0422, 5.0422, 28.9331 Å; angles 90.00, 90.00, 120.00 degrees
Last column: nearest neighbours and their distance in Å.
Space group R-3m (No. 166, hexagonal axes)
Unique sites:
Dy: 0.0000 0.0000 0.1211  3 In 3.20, 3 Hg 3.32
Dy: 0.0000 0.0000 0.2962  4 Hg 2.99-3.03
In: 0.0000 0.0000 0.5000  2 Hg 2.91, 6 Dy 3.20
Hg: 0.0000 0.0000 0.3994  1 In 2.91, 4 Dy 2.99-3.03



Entry from the Alexandria database: crystalline Dy8In2Hg at its relaxed geometry (PBE).

Properties
The formation energy from the elements comes out at -217 meV per atom. Its energy is -4.089 eV/atom. As for the excess energy over the best structure of this formula in the dataset: 0.0 meV/atom.

Cell lengths 18.3958, 5.1908, 6.9447 Å; angles 90.00, 102.08, 90.00 degrees
Last column: nearest neighbours and their distance in Å.
Space group C2/m (No. 12)
Unique sites:
Dy: 0.0202 0.0000 0.2575  2 Hg 3.16, 1 In 3.18, 3 Dy 3.47-3.50
Dy: 0.0929 0.5000 0.9597  1 Hg 3.29, 6 Dy 3.43-3.60, 2 In 3.49
Dy: 0.1580 0.5000 0.4602  1 Hg 2.98, 3 In 3.12-3.16
Dy: 0.2002 0.0000 0.7911  3 In 3.12-3.30, 3 Dy 3.43-3.45
In: 0.1912 0.0000 0.2343  7 Dy 3.12-3.30
Hg: 0.0000 0.5000 0.5000  8 Dy 2.98-3.29



Entry from the Alexandria database: crystalline Dy6InHg at its relaxed geometry (PBE).

Properties
The formation energy from the elements comes out at -211 meV per atom. Its energy is -4.042 eV/atom.

Cell lengths 4.8250, 4.8250, 9.6391 Å; angles 90.00, 90.00, 90.00 degrees
Last column: nearest neighbours and their distance in Å.
Space group P4/mmm (No. 123)
Unique sites:
Dy: 0.0000 0.0000 0.0000  8 Dy 3.40, 4 Hg 3.41
Dy: 0.0000 0.0000 0.5000  4 In 3.41, 8 Dy 3.42
Dy: 0.0000 0.5000 0.2480  2 Hg 3.40, 8 Dy 3.40-3.42, 2 In 3.42
In: 0.5000 0.5000 0.5000  12 Dy 3.41-3.42
Hg: 0.5000 0.5000 0.0000  12 Dy 3.40-3.41



Entry from the Alexandria database: crystalline Dy5In2Hg2 at its relaxed geometry (PBE).

Properties
The formation energy from the elements comes out at -368 meV per atom. Its energy is -3.601 eV/atom.

Cell lengths 16.3189, 8.6048, 7.2489 Å; angles 90.00, 90.00, 90.00 degrees
Last column: nearest neighbours and their distance in Å.
Space group Cmce (No. 64)
Unique sites:
Dy: 0.0000 0.0000 0.0000  4 Hg 3.02-3.19
Dy: 0.1399 0.1872 0.3397  2 Hg 3.08-3.15, 3 In 3.14-3.16
In: 0.2107 0.0000 0.0000  7 Dy 3.14-3.44
Hg: 0.0000 0.1427 0.6190  1 Hg 3.00, 6 Dy 3.02-3.19